1.
Below is NbHgGe after structural relaxation, with properties calculated at the PBE level.

Cell: 3.396 3.425 12.209 Å, 89.24 87.33 89.92°
Atoms (fractional coordinates):
Nb1 0.258 0.750 0.433
Nb2 0.742 0.250 0.567
Hg1 0.888 0.365 0.110
Hg2 0.112 0.635 0.890
Ge1 0.228 0.748 0.666
Ge2 0.772 0.252 0.334

Values from the calculation:
The value obtained for the total energy is -5.0749 eV/atom. The energy above the most stable polymorph in this dataset comes out at 0.015 eV per atom. Its space group is P-1 (2). The energy of formation comes out at -79 meV per atom.

2.
Below is La4CdGaAu2 after structural relaxation, with properties calculated at the PBE level.

Cell: 5.382 5.382 9.447 Å, 73.45 73.45 60.00°
Site moments in Bohr magnetons follow the coordinates.
Atoms (fractional coordinates):
La1 0.381 0.381 0.857  0.04
La2 0.870 0.870 0.390  0.12
La3 0.130 0.130 0.610  0.12
La4 0.619 0.619 0.143  0.04
Cd1 0.000 0.000 0.000  0.00
Ga1 0.500 0.500 0.500  0.00
Au1 0.739 0.739 0.784  0.01
Au2 0.261 0.261 0.216  0.01

Values from the calculation:
The value obtained for the total energy is -4.3654 eV/atom. Its space group is R-3m (166). The energy of formation comes out at -590 meV per atom.

3.
Below is CsBa2NaLi after structural relaxation, with properties calculated at the PBE level.

Cell: 6.885 6.885 6.529 Å, 90.00 90.00 90.00°
Atoms (fractional coordinates):
Cs1 0.500 0.500 0.500
Na1 0.000 0.000 0.500
Ba1 0.000 0.500 0.000
Ba2 0.500 0.000 0.000
Li1 0.000 0.000 0.000

Values from the calculation:
The value obtained for the total energy is -1.3966 eV/atom. Its space group is P4/mmm (123). The energy of formation comes out at 190 meV per atom.